A plane-wave DFT calculation with GGA+U was carried out for an optimized crystal structure of PuFe2CoO6.

abc: 5.5319 5.3656 9.6358
angles: 90.00 124.67 90.00
Last column: nearest neighbours and their distance in Å.
Space group P2_1/c (No. 14)
One atom of each set of equivalent atoms:
Pu  0.0000  0.0000  0.0000  6 O 1.99-2.17
Fe  0.2998  0.0302  0.7751  4 O 2.02-2.17
Co  0.5000  0.0000  0.5000  4 O 2.01-2.12
O  0.0717  0.1843  0.4202  1 Pu 1.99, 1 Fe 2.17
O  0.2817  0.6763  0.4447  1 Co 2.01, 1 Fe 2.02, 1 Pu 2.13
O  0.3710  0.0939  0.2526  2 Fe 2.09, 1 Co 2.12, 1 Pu 2.17

Summary:
Electronic total energy: -7.78 eV per atom
M_tot: 13.0 μB/f.u.